(1)
# Sr4BiSb

Sr4BiSb after structural relaxation (GGA-PBE, the Alexandria database).

For the uncorrected formation energy, the calculation gives -743 meV per atom. The density of states at the Fermi level is 3.108 states/eV/f.u. The uncorrected energy is -3.198 eV/atom.

It has space group P4/mmm (No. 123), with a = 5.6061 Å, b = 5.6061 Å, c = 7.9413 Å, α = 90.00°, β = 90.00° and γ = 90.00°. The distinct sites, in fractional coordinates, are Sr at (0.0000, 0.5000, 0.2451), Bi at (0.0000, 0.0000, 0.5000) and Sb at (0.5000, 0.5000, 0.0000).

(2)
# CaThCuIr

CaThCuIr after structural relaxation (GGA-PBE, the Alexandria database).

The density of states at the Fermi level is 3.676 states/eV/f.u. The uncorrected energy is -5.965 eV/atom. The calculation puts the formation energy at -1.5 eV/f.u.

It has space group F-43m (No. 216), with a = 7.0401 Å, b = 7.0401 Å, c = 7.0401 Å, α = 90.00°, β = 90.00° and γ = 90.00°. The distinct sites, in fractional coordinates, are Ca at (0.0000, 0.0000, 0.0000), Th at (0.0000, 0.0000, 0.5000), Cu at (0.2500, 0.2500, 0.7500) and Ir at (0.2500, 0.2500, 0.2500).

(3)
# TbPmMoN3

TbPmMoN3 after structural relaxation (GGA-PBE, the Alexandria database).

For the uncorrected formation energy, the calculation gives -1038 meV per atom. The density of states at the Fermi level is 1.243 states/eV/f.u. The uncorrected energy is -8.569 eV/atom.

It has space group P2_1/m (No. 11), with a = 6.1262 Å, b = 3.5269 Å, c = 9.0462 Å, α = 90.00°, β = 102.86° and γ = 90.00°. The distinct sites, in fractional coordinates, are Tb at (0.1358, 0.2500, 0.1478), Pm at (0.3514, 0.2500, 0.8178), Mo at (0.3471, 0.7500, 0.4249), N at (0.0544, 0.7500, 0.3040), N at (0.2489, 0.7500, 0.9859) and N at (0.4824, 0.2500, 0.3414).

(4)
# SiBr2O2

SiBr2O2 after structural relaxation (GGA-PBE, the Alexandria database).

For the uncorrected formation energy, the calculation gives 245 meV per atom. The density of states at the Fermi level is 3.162 states/eV/f.u. The uncorrected energy is -3.492 eV/atom. The polymorph energy (0 for the lowest one) comes out at 0 meV/atom.

It has space group P4/mbm (No. 127), with a = 6.1244 Å, b = 6.1244 Å, c = 4.4601 Å, α = 90.00°, β = 90.00° and γ = 90.00°. The distinct sites, in fractional coordinates, are Si at (0.0000, 0.0000, 0.0000), Br at (0.1880, 0.3120, 0.5000) and O at (0.2249, 0.2751, 0.0000).

(5)
# TaTe3Ir

TaTe3Ir after structural relaxation (GGA-PBE, the Alexandria database).

For the uncorrected formation energy, the calculation gives 1202 meV per atom. The density of states at the Fermi level is 7.393 states/eV/f.u. The uncorrected energy is -4.826 eV/atom. The polymorph energy (0 for the lowest one) comes out at 92 meV/atom.

It has space group Pm-3m (No. 221), with a = 5.3048 Å, b = 5.3048 Å, c = 5.3048 Å, α = 90.00°, β = 90.00° and γ = 90.00°. The distinct sites, in fractional coordinates, are Ta at (0.0000, 0.0000, 0.0000), Te at (0.0000, 0.0000, 0.5000) and Ir at (0.5000, 0.5000, 0.5000).

(6)
# AlAsIr2

AlAsIr2 after structural relaxation (GGA-PBE, the Alexandria database).

The density of states at the Fermi level is 1.585 states/eV/f.u. The uncorrected energy is -6.768 eV/atom. The calculation puts the formation energy at -1.0 eV/f.u. The polymorph energy (0 for the lowest one) comes out at 82 meV/atom.

It has space group I4/mmm (No. 139), with a = 4.1187 Å, b = 4.1187 Å, c = 6.9498 Å, α = 90.00°, β = 90.00° and γ = 90.00°. The distinct sites, in fractional coordinates, are Al at (0.0000, 0.0000, 0.0000), As at (0.0000, 0.0000, 0.5000) and Ir at (0.0000, 0.5000, 0.2500).

(7)
# PuCdIn4

PuCdIn4 after structural relaxation (GGA-PBE, the Alexandria database).

The density of states at the Fermi level is 15.017 states/eV/f.u. The uncorrected energy is -4.418 eV/atom. The calculation puts the formation energy at -0.3 eV/f.u. The polymorph energy (0 for the lowest one) comes out at 0 meV/atom.

It has space group P2_1/m (No. 11), with a = 5.9426 Å, b = 6.5550 Å, c = 8.0743 Å, α = 90.00°, β = 96.78° and γ = 90.00°. The distinct sites, in fractional coordinates, are Pu at (0.1795, 0.2500, 0.1723), Cd at (0.0000, 0.0000, 0.5000), In at (0.1538, 0.7500, 0.1744), In at (0.3233, 0.5095, 0.8397) and In at (0.4952, 0.7500, 0.4804).

(8)
# BeAgCl2

BeAgCl2 after structural relaxation (GGA-PBE, the Alexandria database).

For the uncorrected formation energy, the calculation gives 108 meV per atom. The density of states at the Fermi level is 1.145 states/eV/f.u. The uncorrected energy is -2.460 eV/atom. The polymorph energy (0 for the lowest one) comes out at 751 meV/atom.

It has space group I-4m2 (No. 119), with a = 3.6397 Å, b = 3.6397 Å, c = 13.8388 Å, α = 90.00°, β = 90.00° and γ = 90.00°. The distinct sites, in fractional coordinates, are Be at (0.0000, 0.0000, 0.0000), Ag at (0.0000, 0.5000, 0.2500), Cl at (0.0000, 0.0000, 0.5000) and Cl at (0.0000, 0.5000, 0.7500).

(9)
# K3Cd2HgCl9

K3Cd2HgCl9 after structural relaxation (GGA-PBE, the Alexandria database).

For the uncorrected formation energy, the calculation gives -1298 meV per atom. The uncorrected energy is -2.767 eV/atom.

It has space group P-3m1 (No. 164), with a = 7.4709 Å, b = 7.4709 Å, c = 9.1445 Å, α = 90.00°, β = 90.00° and γ = 120.00°. The distinct sites, in fractional coordinates, are K at (0.0000, 0.0000, 0.0000), K at (0.3333, 0.6667, 0.6670), Cd at (0.3333, 0.6667, 0.1643), Hg at (0.0000, 0.0000, 0.5000), Cl at (0.0000, 0.5000, 0.0000) and Cl at (0.1681, 0.3361, 0.3309).

(10)
# Cd3IrO6

Cd3IrO6 after structural relaxation (GGA-PBE, the Alexandria database).

For the uncorrected formation energy, the calculation gives -841 meV per atom. The density of states at the Fermi level is 5.429 states/eV/f.u. The uncorrected energy is -4.977 eV/atom. The polymorph energy (0 for the lowest one) comes out at 3 meV/atom.

It has space group P2_1/c (No. 14), with a = 5.6057 Å, b = 5.6997 Å, c = 9.8510 Å, α = 90.00°, β = 124.28° and γ = 90.00°. The distinct sites, in fractional coordinates, are Cd at (0.0000, 0.0000, 0.0000), Cd at (0.2422, 0.0426, 0.7405), Ir at (0.5000, 0.0000, 0.5000), O at (0.1648, 0.0772, 0.2760), O at (0.2495, 0.6660, 0.0458) and O at (0.4214, 0.2156, 0.0780).

(11)
# PPtRh2

PPtRh2 after structural relaxation (GGA-PBE, the Alexandria database).

The density of states at the Fermi level is 5.229 states/eV/f.u. The uncorrected energy is -6.419 eV/atom. The calculation puts the formation energy at 0.5 eV/f.u.

It has space group F-43m (No. 216), with a = 6.1366 Å, b = 6.1366 Å, c = 6.1366 Å, α = 90.00°, β = 90.00° and γ = 90.00°. The distinct sites, in fractional coordinates, are P at (0.0000, 0.0000, 0.0000), Pt at (0.2500, 0.2500, 0.2500), Rh at (0.0000, 0.0000, 0.5000) and Rh at (0.2500, 0.2500, 0.7500).

(12)
# Er2BeCd

Er2BeCd after structural relaxation (GGA-PBE, the Alexandria database).

The density of states at the Fermi level is 3.473 states/eV/f.u. The uncorrected energy is -3.123 eV/atom. The calculation puts the formation energy at 1.3 eV/f.u. The polymorph energy (0 for the lowest one) comes out at 444 meV/atom.

It has space group R-3m (No. 166, hexagonal axes), with a = 3.3677 Å, b = 3.3677 Å, c = 31.2502 Å, α = 90.00°, β = 90.00° and γ = 120.00°. The distinct sites, in fractional coordinates, are Er at (0.0000, 0.0000, 0.1034), Be at (0.0000, 0.0000, 0.5000) and Cd at (0.0000, 0.0000, 0.0000).

(13)
# EuHoIr

EuHoIr after structural relaxation (GGA-PBE, the Alexandria database).

The density of states at the Fermi level is 8.783 states/eV/f.u. The uncorrected energy is -8.379 eV/atom. The calculation puts the formation energy at -1.4 eV/f.u. The polymorph energy (0 for the lowest one) comes out at 39 meV/atom.

It has space group I4mm (No. 107), with a = 3.4713 Å, b = 3.4713 Å, c = 13.3124 Å, α = 90.00°, β = 90.00° and γ = 90.00°. The distinct sites, in fractional coordinates, are Eu at (0.0000, 0.0000, 0.0000), Ho at (0.0000, 0.0000, 0.2540) and Ir at (0.0000, 0.0000, 0.6436).

(14)
# AcNbSe2

AcNbSe2 after structural relaxation (GGA-PBE, the Alexandria database).

For the uncorrected formation energy, the calculation gives -1021 meV per atom. The density of states at the Fermi level is 1.535 states/eV/f.u. The uncorrected energy is -6.308 eV/atom.

It has space group R-3m (No. 166, hexagonal axes), with a = 4.3453 Å, b = 4.3453 Å, c = 18.0997 Å, α = 90.00°, β = 90.00° and γ = 120.00°. The distinct sites, in fractional coordinates, are Ac at (0.0000, 0.0000, 0.0000), Nb at (0.0000, 0.0000, 0.5000) and Se at (0.0000, 0.0000, 0.2321).

(15)
# Y2SiBr

Y2SiBr after structural relaxation (GGA-PBE, the Alexandria database).

For the uncorrected formation energy, the calculation gives -815 meV per atom. The density of states at the Fermi level is 2.881 states/eV/f.u. The uncorrected energy is -5.821 eV/atom. The polymorph energy (0 for the lowest one) comes out at 225 meV/atom.

It has space group P2/m (No. 10), with a = 3.8116 Å, b = 3.3938 Å, c = 8.1403 Å, α = 90.00°, β = 90.09° and γ = 90.00°. The distinct sites, in fractional coordinates, are Y at (0.0005, 0.0000, 0.1997), Si at (0.5000, 0.5000, 0.0000) and Br at (0.0000, 0.5000, 0.5000).

(16)
# PaInAu2

PaInAu2 after structural relaxation (GGA-PBE, the Alexandria database).

The density of states at the Fermi level is 3.076 states/eV/f.u. The uncorrected energy is -5.115 eV/atom. The calculation puts the formation energy at -1.7 eV/f.u.

It has space group Fm-3m (No. 225), with a = 7.0454 Å, b = 7.0454 Å, c = 7.0454 Å, α = 90.00°, β = 90.00° and γ = 90.00°. The distinct sites, in fractional coordinates, are Pa at (0.0000, 0.0000, 0.0000), In at (0.0000, 0.0000, 0.5000) and Au at (0.2500, 0.2500, 0.2500).

(17)
# TbTmW

TbTmW after structural relaxation (GGA-PBE, the Alexandria database).

The density of states at the Fermi level is 3.604 states/eV/f.u. The uncorrected energy is -7.183 eV/atom. The calculation puts the formation energy at 0.5 eV/f.u.

It has space group P4/nmm (No. 129, origin choice 2), with a = 3.3335 Å, b = 3.3335 Å, c = 13.5425 Å, α = 90.00°, β = 90.00° and γ = 90.00°. The distinct sites, in fractional coordinates, are Tb at (0.2500, 0.2500, 0.0963), Tm at (0.2500, 0.2500, 0.6930) and W at (0.2500, 0.2500, 0.4510).

(18)
# PrSm2ThP4

PrSm2ThP4 after structural relaxation (GGA-PBE, the Alexandria database).

The density of states at the Fermi level is 1.548 states/eV/f.u. The uncorrected energy is -6.989 eV/atom. The calculation puts the formation energy at -12.6 eV/f.u.

It has space group P2/m (No. 10), with a = 7.1586 Å, b = 4.1442 Å, c = 7.1731 Å, α = 90.00°, β = 109.45° and γ = 90.00°. The distinct sites, in fractional coordinates, are Pr at (0.0000, 0.0000, 0.0000), Sm at (0.5000, 0.0000, 0.5000), Sm at (0.5000, 0.5000, 0.0000), Th at (0.0000, 0.5000, 0.5000), P at (0.2512, 0.0000, 0.7472) and P at (0.2528, 0.5000, 0.2549).

(19)
# Ca6Mg5Pb

Ca6Mg5Pb after structural relaxation (GGA-PBE, the Alexandria database).

The density of states at the Fermi level is 8.784 states/eV/f.u. The uncorrected energy is -2.158 eV/atom. The calculation puts the formation energy at -2.2 eV/f.u.

It has space group P2/m (No. 10), with a = 5.5254 Å, b = 8.0074 Å, c = 8.7263 Å, α = 90.00°, β = 107.91° and γ = 90.00°. The distinct sites, in fractional coordinates, are Ca at (0.0000, 0.2476, 0.0000), Ca at (0.3378, 0.2514, 0.6710), Mg at (0.1620, 0.5000, 0.3320), Mg at (0.1697, 0.0000, 0.3449), Mg at (0.5000, 0.5000, 0.0000) and Pb at (0.5000, 0.0000, 0.0000).

(20)
# Sr5CaPb6

Sr5CaPb6 after structural relaxation (GGA-PBE, the Alexandria database).

The density of states at the Fermi level is 6.089 states/eV/f.u. The uncorrected energy is -3.241 eV/atom. The calculation puts the formation energy at -6.2 eV/f.u.

It has space group P-1 (No. 2), with a = 6.1002 Å, b = 7.4948 Å, c = 9.6931 Å, α = 112.64°, β = 96.29° and γ = 90.08°. The distinct sites, in fractional coordinates, are Sr at (0.0000, 0.0000, 0.0000), Sr at (0.3048, 0.3254, 0.6505), Sr at (0.3258, 0.8349, 0.6698), Ca at (0.0000, 0.5000, 0.0000), Pb at (0.1843, 0.4272, 0.3181), Pb at (0.1843, 0.8906, 0.3181) and Pb at (0.4998, 0.2741, 0.9998).